CsRb2Bi2 | GGA-PBE | relaxed

Results
- calculated volume (Å³ per atom) = 55.4
- ΔE_f (meV/atom) = -288
- SG = C2/m, No. 12
- D(E_F) (states/eV/cell) = 1.768
- ΔE to the lowest computed polymorph (meV per atom) = 0.0
- energy (eV per atom) = -2.40

Cell lengths 5.396, 7.387, 7.460 Å; angles 88.87, 111.20, 90.00 degrees
Fractional positions:
Bi (0.717, 0.105, 0.435)
Bi (0.283, 0.895, 0.565)
Rb (0.649, 0.622, 0.298)
Rb (0.351, 0.378, 0.702)
Cs (0.000, 0.000, 0.000)